Entry 1:
HfTl3Sn2S6 | PBE-GGA | relaxed

Cell and atoms, written as CIF:
```
data_HfTl3Sn2S6
_chemical_formula_sum 'Hf2 Tl6 Sn4 S12'
_cell_length_a 6.956
_cell_length_b 11.977
_cell_length_c 7.736
_cell_angle_alpha 90.00
_cell_angle_beta 107.01
_cell_angle_gamma 90.00
_space_group_name_H-M_alt 'C 1 2/m 1'
_space_group_IT_number 12
_space_group_name_Hall '-C 2y'
loop_
_atom_site_label
_atom_site_type_symbol
_atom_site_fract_x
_atom_site_fract_y
_atom_site_fract_z
_atom_site_occupancy
Hf1 Hf 0.000 0.000 0.000 1
Tl1 Tl 0.000 0.170 0.500 1
Tl2 Tl 0.000 0.500 0.500 1
Sn1 Sn 0.000 0.333 0.000 1
S1 S 0.218 0.154 0.192 1
S2 S 0.241 0.000 0.801 1
```

Summary:
- Crystal system: monoclinic
- Formation energy from raw total energies: -0.70 eV/atom
- Electronic total energy: -4.852 eV/atom

---

Entry 2:
In3Te | PBE-GGA | relaxed

Cell and atoms, written as CIF:
```
data_In3Te
_chemical_formula_sum 'In3 Te1'
_cell_length_a 4.927
_cell_length_b 4.927
_cell_length_c 4.927
_cell_angle_alpha 90.00
_cell_angle_beta 90.00
_cell_angle_gamma 90.00
_space_group_name_H-M_alt 'P 4 m m'
_space_group_IT_number 99
_space_group_name_Hall 'P 4 -2'
loop_
_atom_site_label
_atom_site_type_symbol
_atom_site_fract_x
_atom_site_fract_y
_atom_site_fract_z
_atom_site_occupancy
In1 In 0.000 0.000 0.000 1
In2 In 0.000 0.500 0.499 1
Te1 Te 0.500 0.500 0.998 1
```

Summary:
- Crystal system: tetragonal
- Formation energy from raw total energies: -0.08 eV/atom
- Electronic total energy: -2.924 eV/atom

---

Entry 3:
NaTlSe3 | PBE-GGA | relaxed

Cell and atoms, written as CIF:
```
data_NaTlSe3
_chemical_formula_sum 'Na4 Tl4 Se12'
_cell_length_a 6.842
_cell_length_b 7.192
_cell_length_c 11.963
_cell_angle_alpha 90.00
_cell_angle_beta 105.21
_cell_angle_gamma 90.00
_space_group_name_H-M_alt 'P 1 21/c 1'
_space_group_IT_number 14
_space_group_name_Hall '-P 2ybc'
loop_
_atom_site_label
_atom_site_type_symbol
_atom_site_fract_x
_atom_site_fract_y
_atom_site_fract_z
_atom_site_occupancy
Na1 Na 0.235 0.218 0.487 1
Tl1 Tl 0.329 0.537 0.754 1
Se1 Se 0.133 0.030 0.698 1
Se2 Se 0.211 0.693 0.042 1
Se3 Se 0.339 0.568 0.389 1
```

Summary:
- Crystal system: monoclinic
- Energy relative to the lowest polymorph listed for this composition: 0.0 kJ/mol of formula units
- Formation energy from raw total energies: -0.41 eV/atom
- Electronic total energy: -3.238 eV/atom

---

Entry 4:
Tb4In2Te | PBE-GGA | relaxed

Cell and atoms, written as CIF:
```
data_Tb4In2Te
_chemical_formula_sum 'Tb8 In4 Te2'
_cell_length_a 5.816
_cell_length_b 6.495
_cell_length_c 10.922
_cell_angle_alpha 90.00
_cell_angle_beta 105.28
_cell_angle_gamma 90.00
_space_group_name_H-M_alt 'P 1 21/m 1'
_space_group_IT_number 11
_space_group_name_Hall '-P 2yb'
loop_
_atom_site_label
_atom_site_type_symbol
_atom_site_fract_x
_atom_site_fract_y
_atom_site_fract_z
_atom_site_occupancy
Tb1 Tb 0.065 0.250 0.128 1
Tb2 Tb 0.222 0.750 0.447 1
Tb3 Tb 0.366 0.006 0.733 1
In1 In 0.219 0.250 0.434 1
In2 In 0.497 0.750 0.996 1
Te1 Te 0.083 0.750 0.166 1
```

Summary:
- Crystal system: monoclinic
- Formation energy from raw total energies: -0.51 eV/atom
- Electronic total energy: -4.390 eV/atom

---

Entry 5:
SnAuS2 | PBE-GGA | relaxed

Cell and atoms, written as CIF:
```
data_SnAuS2
_chemical_formula_sum 'Sn4 Au4 S8'
_cell_length_a 7.911
_cell_length_b 4.435
_cell_length_c 13.131
_cell_angle_alpha 90.00
_cell_angle_beta 90.00
_cell_angle_gamma 90.00
_space_group_name_H-M_alt 'P n m a'
_space_group_IT_number 62
_space_group_name_Hall '-P 2ac 2n'
loop_
_atom_site_label
_atom_site_type_symbol
_atom_site_fract_x
_atom_site_fract_y
_atom_site_fract_z
_atom_site_occupancy
Sn1 Sn 0.083 0.250 0.107 1
Au1 Au 0.051 0.250 0.692 1
S1 S 0.116 0.750 0.729 1
S2 S 0.182 0.750 0.014 1
```

Summary:
- Crystal system: orthorhombic
- Formation energy from raw total energies: -0.09 eV/atom
- Electronic total energy: -3.972 eV/atom

---

Entry 6:
Pr2HoTl3S6 | PBE-GGA | relaxed

Cell and atoms, written as CIF:
```
data_Pr2HoTl3S6
_chemical_formula_sum 'Pr4 Ho2 Tl6 S12'
_cell_length_a 7.190
_cell_length_b 12.448
_cell_length_c 7.873
_cell_angle_alpha 90.00
_cell_angle_beta 107.71
_cell_angle_gamma 90.00
_space_group_name_H-M_alt 'C 1 2/m 1'
_space_group_IT_number 12
_space_group_name_Hall '-C 2y'
loop_
_atom_site_label
_atom_site_type_symbol
_atom_site_fract_x
_atom_site_fract_y
_atom_site_fract_z
_atom_site_occupancy
Pr1 Pr 0.000 0.167 0.000 1
Ho1 Ho 0.000 0.500 0.000 1
Tl1 Tl 0.000 0.000 0.500 1
Tl2 Tl 0.000 0.333 0.500 1
S1 S 0.228 0.339 0.202 1
S2 S 0.246 0.000 0.204 1
```

Summary:
- Crystal system: monoclinic
- Formation energy from raw total energies: -1.46 eV/atom
- Electronic total energy: -5.290 eV/atom

---

Entry 7:
CaZrMn2Cu | PBE-GGA | relaxed

Cell and atoms, written as CIF:
```
data_CaZrMn2Cu
_chemical_formula_sum 'Ca1 Zr1 Mn2 Cu1'
_cell_length_a 4.821
_cell_length_b 4.821
_cell_length_c 5.086
_cell_angle_alpha 90.00
_cell_angle_beta 90.00
_cell_angle_gamma 90.00
_space_group_name_H-M_alt 'P 4/m m m'
_space_group_IT_number 123
_space_group_name_Hall '-P 4 2'
loop_
_atom_site_label
_atom_site_type_symbol
_atom_site_fract_x
_atom_site_fract_y
_atom_site_fract_z
_atom_site_occupancy
Ca1 Ca 0.000 0.000 0.000 1
Zr1 Zr 0.500 0.500 0.500 1
Mn1 Mn 0.000 0.500 0.500 1
Cu1 Cu 0.500 0.500 0.000 1
```

Summary:
- Crystal system: tetragonal
- Energy relative to the lowest polymorph listed for this composition: 0.0 kJ/mol of formula units
- ΔE_f: 0.82 eV/atom
- Electronic total energy: -5.781 eV/atom